[1]
Entry from the Alexandria database: a relaxed Tb2Pr4Er5 crystal (PBE).

Unit cell a=24.054 b=3.548 c=8.713 alpha=90.00 beta=94.02 gamma=90.00
Space group C2/m (No. 12)
Asymmetric unit:
Tb  0.088  0.000  0.195
Pr  0.042  0.500  0.840
Pr  0.226  0.000  0.327
Er  0.000  0.000  0.500
Er  0.129  0.500  0.541
Er  0.187  0.500  0.977

Values from the calculation:
**Total moment**: 0.00 μB per cell
**Energy relative to the lowest polymorph listed for this composition**: 0.00 eV/f.u.
**Raw total energy**: -4.548 eV/atom
**Energy relative to the elements**: 106 meV/atom
**Crystal system**: monoclinic
**D(E_F)**: 16.29 states/eV/f.u.



[2]
Entry from the Alexandria database: a relaxed TbPr12Er7 crystal (PBE).

Unit cell a=15.3160 b=15.3160 c=10.1638 alpha=90.00 beta=90.00 gamma=120.00
Space group R-3 (No. 148, hexagonal axes)
Asymmetric unit:
Tb  0.0000  0.0000  0.0000
Pr  0.0426  0.8449  0.2524
Pr  0.0454  0.7957  0.5761
Er  0.0000  0.0000  0.5000
Er  0.0669  0.8225  0.9263

Values from the calculation:
**Total moment**: 0.00 μB per cell
**Energy relative to the lowest polymorph listed for this composition**: 0.00 eV/f.u.
**Raw total energy**: -4.552 eV/atom
**Energy relative to the elements**: 144 meV/atom
**Crystal system**: trigonal
**D(E_F)**: 34.24 states/eV/f.u.



[3]
Entry from the Alexandria database: a relaxed Tb3PrEr3 crystal (PBE).

Unit cell a=9.8560 b=9.8560 c=8.1788 alpha=90.00 beta=90.00 gamma=120.00
Space group R3m (No. 160, hexagonal axes)
Asymmetric unit:
Tb  0.2148  0.4295  0.0000
Pr  0.0000  0.0000  0.6282
Er  0.1996  0.3991  0.5737

Values from the calculation:
**Total moment**: 0.00 μB per cell
**Energy relative to the lowest polymorph listed for this composition**: 0.10 eV/f.u.
**Raw total energy**: -4.378 eV/atom
**Energy relative to the elements**: 244 meV/atom
**Crystal system**: trigonal
**D(E_F)**: 10.36 states/eV/f.u.



[4]
Entry from the Alexandria database: a relaxed TbPr2Er5 crystal (PBE).

Unit cell a=7.126 b=14.257 c=5.042 alpha=90.00 beta=90.00 gamma=90.00
Space group Pbam (No. 55)
Asymmetric unit:
Tb  0.000  0.000  0.000
Pr  0.248  0.375  0.500
Er  0.000  0.500  0.000
Er  0.002  0.750  0.000
Er  0.248  0.125  0.500

Values from the calculation:
**Total moment**: 0.00 μB per cell
**Energy relative to the lowest polymorph listed for this composition**: 0.00 eV/f.u.
**Raw total energy**: -4.601 eV/atom
**Energy relative to the elements**: 25 meV/atom
**Crystal system**: orthorhombic
**D(E_F)**: 11.58 states/eV/f.u.



[5]
Entry from the Alexandria database: a relaxed Tb4Pr4Er crystal (PBE).

Unit cell a=10.881 b=10.881 c=5.107 alpha=90.00 beta=90.00 gamma=90.00
Space group I4/mmm (No. 139)
Asymmetric unit:
Tb  0.000  0.335  0.000
Pr  0.166  0.166  0.500
Er  0.000  0.000  0.000

Values from the calculation:
**Total moment**: 0.00 μB per cell
**Raw total energy**: -4.672 eV/atom
**Energy relative to the elements**: 17 meV/atom
**Crystal system**: tetragonal
**D(E_F)**: 13.10 states/eV/f.u.



[6]
Entry from the Alexandria database: a relaxed Tb2Pr7Er crystal (PBE).

Unit cell a=12.195 b=16.973 c=3.549 alpha=90.00 beta=90.00 gamma=90.00
Space group Cmmm (No. 65)
Asymmetric unit:
Tb  0.000  0.165  0.000
Pr  0.000  0.321  0.500
Pr  0.000  0.500  0.000
Pr  0.246  0.372  0.000
Er  0.000  0.000  0.500

Values from the calculation:
**Total moment**: 0.00 μB per cell
**Energy relative to the lowest polymorph listed for this composition**: 0.00 eV/f.u.
**Raw total energy**: -4.362 eV/atom
**Energy relative to the elements**: 366 meV/atom
**Crystal system**: orthorhombic
**D(E_F)**: 15.46 states/eV/f.u.